Arrangement P

VASP calculation (PBE) on a geometry-optimized Tl3Ru structure.

Properties
theoretical density: 12.14 g cm⁻³
N(E_F): 0.782 states/eV per atom

abc: 3.3982 3.3982 29.3115
angles: 90.00 90.00 120.00
Space group R-3m (No. 166, hexagonal axes)
Asymmetric unit:
Tl  0.0000  0.0000  0.0000 x3
Tl  0.0000  0.0000  0.2356 x6
Ru  0.0000  0.0000  0.5000 x3



Arrangement Q

VASP calculation (PBE) on a geometry-optimized Tl3Ru structure.

Properties
theoretical density: 12.56 g cm⁻³
N(E_F): 0.658 states/eV per atom

abc: 9.5717 9.5717 3.5711
angles: 90.00 90.00 120.00
Space group R-3m (No. 166, hexagonal axes)
Asymmetric unit:
Tl  0.0000  0.5000  0.0000 x9
Ru  0.0000  0.0000  0.0000 x3



Most stable = arrangement P



Arrangement P

VASP calculation (PBE) on a geometry-optimized Tl3Ru structure.

Properties
theoretical density: 12.21 g cm⁻³
N(E_F): 0.519 states/eV per atom

abc: 3.6730 4.7586 5.7024
angles: 90.00 102.94 90.00
Space group P2/m (No. 10)
Asymmetric unit:
Tl  0.0000  0.0000  0.0000 x1
Tl  0.3469  0.5000  0.7238 x2
Ru  0.0000  0.0000  0.5000 x1



Arrangement Q

VASP calculation (PBE) on a geometry-optimized Tl3Ru structure.

Properties
theoretical density: 7.89 g cm⁻³
N(E_F): 0.742 states/eV per atom

abc: 5.3173 5.3173 5.3173
angles: 90.00 90.00 90.00
Space group Pm-3m (No. 221)
Asymmetric unit:
Tl  0.0000  0.0000  0.5000 x3
Ru  0.0000  0.0000  0.0000 x1



Arrangement R

VASP calculation (PBE) on a geometry-optimized Tl3Ru structure.

Properties
theoretical density: 12.77 g cm⁻³
N(E_F): 0.950 states/eV per atom

abc: 6.3481 6.3481 5.3206
angles: 90.00 90.00 120.00
Space group P6_3/mmc (No. 194)
Asymmetric unit:
Tl  0.1721  0.3442  0.2500 x6
Ru  0.3333  0.6667  0.7500 x2



Most stable = arrangement Q



Arrangement P

VASP calculation (PBE) on a geometry-optimized Tl3Ru structure.

Properties
theoretical density: 10.93 g cm⁻³
N(E_F): 0.915 states/eV per atom

abc: 9.3427 11.4332 4.0632
angles: 90.00 90.00 90.00
Space group Cmcm (No. 63)
Asymmetric unit:
Tl  0.0000  0.1239  0.2500 x4
Tl  0.2139  0.3671  0.2500 x8
Ru  0.0000  0.4435  0.7500 x4



Arrangement Q

VASP calculation (PBE) on a geometry-optimized Tl3Ru structure.

Properties
theoretical density: 12.55 g cm⁻³
N(E_F): 1.336 states/eV per atom

abc: 4.5549 4.5549 4.5549
angles: 90.00 90.00 90.00
Space group Pm-3m (No. 221)
Asymmetric unit:
Tl  0.0000  0.0000  0.5000 x3
Ru  0.5000  0.5000  0.5000 x1



Arrangement R

VASP calculation (PBE) on a geometry-optimized Tl3Ru structure.

Properties
theoretical density: 13.05 g cm⁻³
N(E_F): 1.294 states/eV per atom

abc: 5.6649 5.6649 5.6649
angles: 90.00 90.00 90.00
Space group Pm-3n (No. 223)
Asymmetric unit:
Tl  0.0000  0.2500  0.5000 x6
Ru  0.0000  0.0000  0.0000 x2



Arrangement S

VASP calculation (PBE) on a geometry-optimized Tl3Ru structure.

Properties
theoretical density: 11.50 g cm⁻³
N(E_F): 0.622 states/eV per atom

abc: 3.1607 4.6297 14.0983
angles: 90.00 90.00 90.00
Space group Immm (No. 71)
Asymmetric unit:
Tl  0.0000  0.0000  0.0000 x2
Tl  0.0000  0.5000  0.1765 x4
Ru  0.0000  0.0000  0.5000 x2



Most stable = arrangement S



Arrangement P

VASP calculation (PBE) on a geometry-optimized Tl3Ru structure.

Properties
theoretical density: 12.06 g cm⁻³
N(E_F): 0.615 states/eV per atom

abc: 3.3677 3.3677 10.0148
angles: 90.00 90.00 120.00
Space group P-6m2 (No. 187)
Asymmetric unit:
Tl  0.0000  0.0000  0.0000 x1
Tl  0.6667  0.3333  0.2960 x2
Ru  0.0000  0.0000  0.5000 x1



Arrangement Q

VASP calculation (PBE) on a geometry-optimized Tl3Ru structure.

Properties
theoretical density: 12.22 g cm⁻³
N(E_F): 0.662 states/eV per atom

abc: 3.2962 3.2962 8.9336
angles: 90.00 90.00 90.00
Space group P4/mmm (No. 123)
Asymmetric unit:
Tl  0.0000  0.0000  0.0000 x1
Tl  0.5000  0.5000  0.3093 x2
Ru  0.0000  0.0000  0.5000 x1



Most stable = arrangement Q



Arrangement P

VASP calculation (PBE) on a geometry-optimized TlRu4 structure.

Properties
theoretical density: 8.51 g cm⁻³
N(E_F): 1.807 states/eV per atom

abc: 4.9159 4.9159 4.9159
angles: 90.00 90.00 90.00
Space group Pm-3m (No. 221)
Asymmetric unit:
Tl  0.0000  0.0000  0.0000 x1
Ru  0.0000  0.0000  0.5000 x3
Ru  0.5000  0.5000  0.5000 x1



Arrangement Q

VASP calculation (PBE) on a geometry-optimized TlRu4 structure.

Properties
theoretical density: 13.05 g cm⁻³
N(E_F): 1.467 states/eV per atom

abc: 6.3047 6.3047 3.8961
angles: 90.00 90.00 90.00
Space group I4/m (No. 87)
Asymmetric unit:
Tl  0.0000  0.0000  0.0000 x2
Ru  0.0962  0.3154  0.5000 x8



Most stable = arrangement Q



Arrangement P

VASP calculation (PBE) on a geometry-optimized TlRu4 structure.

Properties
theoretical density: 11.85 g cm⁻³
N(E_F): 0.833 states/eV per atom

abc: 3.8345 3.8345 11.6016
angles: 90.00 90.00 90.00
Space group I4/mmm (No. 139)
Asymmetric unit:
Tl  0.0000  0.0000  0.0000 x2
Ru  0.0000  0.0000  0.3966 x4
Ru  0.0000  0.5000  0.2500 x4



Arrangement Q

VASP calculation (PBE) on a geometry-optimized TlRu4 structure.

Properties
theoretical density: 11.95 g cm⁻³
N(E_F): 1.254 states/eV per atom

abc: 5.1672 5.1672 6.3349
angles: 90.00 90.00 90.00
Space group P4_2/nmc (No. 137, origin choice 2)
Asymmetric unit:
Tl  0.2500  0.7500  0.2500 x2
Ru  0.0230  0.2500  0.1218 x8



Most stable = arrangement P



Arrangement P

VASP calculation (PBE) on a geometry-optimized TlRu5 structure.

Properties
theoretical density: 11.68 g cm⁻³
N(E_F): 1.793 states/eV per atom

abc: 5.0408 5.0408 4.5858
angles: 90.00 90.00 120.00
Space group P6/mmm (No. 191)
Asymmetric unit:
Tl  0.0000  0.0000  0.0000 x1
Ru  0.0000  0.5000  0.5000 x3
Ru  0.3333  0.6667  0.0000 x2



Arrangement Q

VASP calculation (PBE) on a geometry-optimized TlRu5 structure.

Properties
theoretical density: 12.26 g cm⁻³
N(E_F): 1.711 states/eV per atom

abc: 7.2720 7.2720 7.2720
angles: 90.00 90.00 90.00
Space group F-43m (No. 216)
Asymmetric unit:
Tl  0.0000  0.0000  0.0000 x4
Ru  0.1244  0.1244  0.3756 x16
Ru  0.2500  0.2500  0.7500 x4



Most stable = arrangement P



Arrangement P

VASP calculation (PBE) on a geometry-optimized TlRu5 structure.

Properties
theoretical density: 12.81 g cm⁻³
N(E_F): 1.297 states/eV per atom

abc: 4.3819 2.8338 14.8134
angles: 90.00 90.00 90.00
Space group Amm2 (No. 38)
Asymmetric unit:
Tl  0.0000  0.0000  0.0000 x2
Ru  0.0000  0.0000  0.3205 x2
Ru  0.0000  0.0000  0.6753 x2
Ru  0.5000  0.0000  0.1180 x2
Ru  0.5000  0.0000  0.4303 x2
Ru  0.5000  0.0000  0.7757 x2



Arrangement Q

VASP calculation (PBE) on a geometry-optimized TlRu5 structure.

Properties
theoretical density: 12.91 g cm⁻³
N(E_F): 0.708 states/eV per atom

abc: 10.1797 2.8233 6.5770
angles: 90.00 104.96 90.00
Space group Cm (No. 8)
Asymmetric unit:
Tl  0.0000  0.0000  0.0000 x2
Ru  0.1252  0.5000  0.7113 x2
Ru  0.1847  0.5000  0.3524 x2
Ru  0.2758  0.0000  0.0729 x2
Ru  0.3325  0.0000  0.6562 x2
Ru  0.4504  0.5000  0.4037 x2



Arrangement R

VASP calculation (PBE) on a geometry-optimized TlRu5 structure.

Properties
theoretical density: 12.82 g cm⁻³
N(E_F): 1.159 states/eV per atom

abc: 2.8017 2.8017 11.7137
angles: 90.00 90.00 90.00
Space group P4/mmm (No. 123)
Asymmetric unit:
Tl  0.0000  0.0000  0.0000 x1
Ru  0.0000  0.0000  0.3383 x2
Ru  0.5000  0.5000  0.1914 x2
Ru  0.5000  0.5000  0.5000 x1



Most stable = arrangement Q



Arrangement P

VASP calculation (PBE) on a geometry-optimized Tm8TlRu2 structure.

Properties
theoretical density: 10.41 g cm⁻³
N(E_F): 0.794 states/eV per atom

abc: 5.1978 15.7165 6.8666
angles: 90.00 90.00 90.00
Space group Imm2 (No. 44)
Asymmetric unit:
Tm  0.0000  0.0000  0.0000 x2
Tm  0.0000  0.1111  0.4591 x4
Tm  0.0000  0.2881  0.1338 x4
Tm  0.0000  0.3310  0.5930 x4
Tm  0.0000  0.5000  0.2256 x2
Tl  0.0000  0.5000  0.7951 x2
Ru  0.0000  0.1708  0.8269 x4



Arrangement Q

VASP calculation (PBE) on a geometry-optimized Tm8TlRu2 structure.

Properties
theoretical density: 9.95 g cm⁻³
N(E_F): 0.806 states/eV per atom

abc: 8.6552 12.9709 5.3833
angles: 90.00 103.96 90.00
Space group C2/m (No. 12)
Asymmetric unit:
Tm  0.0000  0.2471  0.0000 x4
Tm  0.1151  0.5000  0.8007 x4
Tm  0.1986  0.1336  0.5805 x8
Tl  0.0000  0.0000  0.0000 x2
Ru  0.0000  0.3144  0.5000 x4



Most stable = arrangement Q



Arrangement P

VASP calculation (PBE) on a geometry-optimized Tm5Tl2Ru structure.

Properties
theoretical density: 10.93 g cm⁻³
N(E_F): 0.658 states/eV per atom

abc: 6.8438 12.3705 4.8621
angles: 90.00 90.00 90.00
Space group Pbam (No. 55)
Asymmetric unit:
Tm  0.0000  0.0000  0.0000 x2
Tm  0.1204  0.2900  0.0000 x4
Tm  0.1750  0.5845  0.5000 x4
Tl  0.1071  0.8390  0.5000 x4
Ru  0.0000  0.5000  0.0000 x2



Arrangement Q

VASP calculation (PBE) on a geometry-optimized Tm5Tl2Ru structure.

Properties
theoretical density: 10.50 g cm⁻³
N(E_F): 0.553 states/eV per atom

abc: 8.7830 9.9168 6.5497
angles: 90.00 131.32 90.00
Space group Cm (No. 8)
Asymmetric unit:
Tm  0.0000  0.0000  0.0000 x2
Tm  0.0162  0.5000  0.5590 x2
Tm  0.2136  0.2461  0.4956 x4
Tm  0.4248  0.0000  0.9887 x2
Tl  0.2162  0.2721  0.0128 x4
Ru  0.3037  0.5000  0.4650 x2



Most stable = arrangement P



Arrangement P

VASP calculation (PBE) on a geometry-optimized Tm3TlRu structure.

Properties
theoretical density: 10.74 g cm⁻³
N(E_F): 0.501 states/eV per atom

abc: 6.4762 9.5347 16.2772
angles: 90.00 90.00 90.00
Space group Fmmm (No. 69)
Asymmetric unit:
Tm  0.0000  0.0000  0.1999 x8
Tm  0.0000  0.1870  0.3847 x16
Tl  0.2186  0.0000  0.0000 x8
Ru  0.2500  0.2500  0.2500 x8



Arrangement Q

VASP calculation (PBE) on a geometry-optimized Tm3TlRu structure.

Properties
theoretical density: 10.50 g cm⁻³
N(E_F): 0.730 states/eV per atom

abc: 12.7828 5.2264 8.4656
angles: 90.00 114.70 90.00
Space group C2/m (No. 12)
Asymmetric unit:
Tm  0.0733  0.0000  0.2305 x4
Tm  0.0922  0.5000  0.8734 x4
Tm  0.2179  0.0000  0.7288 x4
Tl  0.1282  0.5000  0.4968 x4
Ru  0.1760  0.0000  0.0175 x4



Most stable = arrangement P